(1)
First-principles (PBE) data for a geometry-optimized Ac4Sm2Y3 structure, as listed in the Alexandria database.

Space-group type: C2/m, No. 12
Density of states at the Fermi level, states/eV per cell: 14.19
Calculated formation energy, eV per atom: 0.049
Total magnetization, μB/cell: 0.0
Electronic total energy, eV/atom: -4.98

a b c (Å): 5.4116 6.4390 11.2750
angles (deg): 74.97 90.00 65.19
With the nearest neighbours (Å) after each atom.
Sites, in units of the cell vectors:
Ac: 0.6664 0.6674 0.8882  4 Y 3.74-3.80, 4 Sm 3.75-3.81, 4 Ac 3.83
Ac: 0.0048 0.9903 0.3331  6 Y 3.70-3.81, 3 Sm 3.72-3.74, 3 Ac 3.80-3.83
Ac: 0.9952 0.0097 0.6669  6 Y 3.70-3.81, 3 Sm 3.72-3.74, 3 Ac 3.80-3.83
Ac: 0.3336 0.3326 0.1118  4 Y 3.74-3.80, 4 Sm 3.75-3.81, 4 Ac 3.83
Sm: 0.3287 0.3425 0.7725  5 Y 3.66-3.87, 7 Ac 3.72-3.81
Sm: 0.6713 0.6575 0.2275  5 Y 3.66-3.87, 7 Ac 3.72-3.81
Y: 0.3349 0.3301 0.4495  3 Sm 3.66-3.81, 3 Y 3.70-3.72, 6 Ac 3.70-3.81
Y: 0.0000 0.0000 0.0000  8 Ac 3.74-3.75, 4 Sm 3.87
Y: 0.6651 0.6699 0.5505  3 Sm 3.66-3.81, 3 Y 3.70-3.72, 6 Ac 3.70-3.81

---

(2)
First-principles (PBE) data for a geometry-optimized TmZrZnHg structure, as listed in the Alexandria database.

Space-group type: F-43m, No. 216
Density of states at the Fermi level, states/eV per cell: 4.11
Calculated formation energy, eV per atom: -0.228
Total magnetization, μB/cell: 0.8
Electronic total energy, eV/atom: -3.88

a b c (Å): 4.9831 4.9831 4.9831
angles (deg): 60.00 60.00 60.00
With the nearest neighbours (Å) after each atom.
Sites, in units of the cell vectors:
Zn: 0.2500 0.2500 0.2500  4 Tm 3.05, 4 Zr 3.05
Tm: 0.0000 0.0000 0.0000  4 Hg 3.05, 4 Zn 3.05
Hg: 0.7500 0.7500 0.7500  4 Zr 3.05, 4 Tm 3.05
Zr: 0.5000 0.5000 0.5000  4 Zn 3.05, 4 Hg 3.05

---

(3)
First-principles (PBE) data for a geometry-optimized Li2Pm2Ga structure, as listed in the Alexandria database.

Space-group type: I4/mmm, No. 139
Density of states at the Fermi level, states/eV per cell: 5.06
Calculated formation energy, eV per atom: -0.093
Total magnetization, μB/cell: 0.0
Electronic total energy, eV/atom: -3.36

a b c (Å): 3.5850 3.5850 10.1175
angles (deg): 100.20 100.20 90.00
With the nearest neighbours (Å) after each atom.
Sites, in units of the cell vectors:
Li: 0.7500 0.2500 0.5000  4 Li 2.54
Li: 0.2500 0.7500 0.5000  4 Li 2.54
Pm: 0.4046 0.4046 0.8092  4 Ga 3.15, 4 Li 3.52
Pm: 0.5954 0.5954 0.1908  4 Ga 3.15, 4 Li 3.52
Ga: 0.0000 0.0000 0.0000  8 Pm 3.15

---

(4)
First-principles (PBE) data for a geometry-optimized Sm8Y6Tm structure, as listed in the Alexandria database.

Space-group type: R-3, No. 148
Density of states at the Fermi level, states/eV per cell: 24.33
Calculated formation energy, eV per atom: 0.115
Energy above the lowest structure with this stoichiometry, meV/atom: 0.0
Total magnetization, μB/cell: 0.0
Electronic total energy, eV/atom: -5.29

a b c (Å): 9.1261 9.1261 8.7127
angles (deg): 58.42 58.42 60.00
With the nearest neighbours (Å) after each atom.
Sites, in units of the cell vectors:
Sm: 0.2501 0.2819 0.5799  3 Y 3.42-3.82, 5 Sm 3.45-3.46, 1 Tm 3.53
Sm: 0.7181 0.1118 0.4201  3 Y 3.42-3.82, 5 Sm 3.45-3.46, 1 Tm 3.53
Sm: 0.1118 0.7499 0.4201  3 Y 3.42-3.82, 5 Sm 3.45-3.46, 1 Tm 3.53
Sm: 0.5771 0.5771 0.2687  4 Sm 3.21-3.45, 3 Y 3.38
Sm: 0.4229 0.4229 0.7313  4 Sm 3.21-3.45, 3 Y 3.38
Sm: 0.8882 0.2501 0.5799  3 Y 3.42-3.82, 5 Sm 3.45-3.46, 1 Tm 3.53
Sm: 0.2819 0.8882 0.5799  3 Y 3.42-3.82, 5 Sm 3.45-3.46, 1 Tm 3.53
Sm: 0.7499 0.7181 0.4201  3 Y 3.42-3.82, 5 Sm 3.45-3.46, 1 Tm 3.53
Y: 0.4602 0.9013 0.8813  3 Sm 3.38-3.45, 1 Tm 3.49, 4 Y 3.55-3.77
Y: 0.0987 0.2427 0.1187  3 Sm 3.38-3.45, 1 Tm 3.49, 4 Y 3.55-3.77
Y: 0.2427 0.5398 0.1187  3 Sm 3.38-3.45, 1 Tm 3.49, 4 Y 3.55-3.77
Y: 0.7573 0.4602 0.8813  3 Sm 3.38-3.45, 1 Tm 3.49, 4 Y 3.55-3.77
Y: 0.9013 0.7573 0.8813  3 Sm 3.38-3.45, 1 Tm 3.49, 4 Y 3.55-3.77
Y: 0.5398 0.0987 0.1187  3 Sm 3.38-3.45, 1 Tm 3.49, 4 Y 3.55-3.77
Tm: 0.0000 0.0000 0.0000  6 Y 3.49, 6 Sm 3.53

---

(5)
First-principles (PBE) data for a geometry-optimized Ac2Ga6PtRh structure, as listed in the Alexandria database.

Space-group type: C2/m, No. 12
Density of states at the Fermi level, states/eV per cell: 10.65
Calculated formation energy, eV per atom: -0.444
Total magnetization, μB/cell: 0.0
Electronic total energy, eV/atom: -4.42

a b c (Å): 6.9161 6.9183 6.9188
angles (deg): 59.90 59.91 89.98
With the nearest neighbours (Å) after each atom.
Sites, in units of the cell vectors:
Ac: 0.7501 0.2502 0.4997  12 Ga 3.45-3.46
Ac: 0.2499 0.7498 0.5002  12 Ga 3.45-3.46
Ga: 0.2519 0.2519 0.4956  1 Rh 2.42, 1 Pt 2.46
Ga: 0.7478 0.7478 0.0001  1 Rh 2.42, 1 Pt 2.47
Ga: 0.2524 0.7480 0.0000  1 Rh 2.42, 1 Pt 2.47
Ga: 0.7476 0.2520 0.0000  1 Rh 2.42, 1 Pt 2.47
Ga: 0.2522 0.2522 0.9999  1 Rh 2.42, 1 Pt 2.47
Ga: 0.7481 0.7481 0.5044  1 Rh 2.42, 1 Pt 2.46
Pt: 0.0000 0.0000 0.0000  6 Ga 2.46-2.47
Rh: 0.5000 0.5000 0.0000  6 Ga 2.42

---

(6)
First-principles (PBE) data for a geometry-optimized Ba2HgAu structure, as listed in the Alexandria database.

Space-group type: Pmm2, No. 25
Density of states at the Fermi level, states/eV per cell: 3.30
Calculated formation energy, eV per atom: -0.586
Total magnetization, μB/cell: 0.0
Electronic total energy, eV/atom: -2.44

a b c (Å): 5.8486 4.0902 5.8505
angles (deg): 89.98 90.00 90.00
With the nearest neighbours (Å) after each atom.
Sites, in units of the cell vectors:
Au: 0.5000 0.6252 0.8759  8 Ba 3.56-3.57
Hg: 0.0000 0.6249 0.3743  8 Ba 3.57
Ba: 0.0000 0.1245 0.8748  4 Hg 3.57, 4 Au 3.57
Ba: 0.5000 0.1253 0.3751  4 Au 3.56-3.57, 4 Hg 3.57

---

(7)
First-principles (PBE) data for a geometry-optimized InRhBr2 structure, as listed in the Alexandria database.

Space-group type: P4/mmm, No. 123
Density of states at the Fermi level, states/eV per cell: 3.39
Energy above the lowest structure with this stoichiometry, meV/atom: 475.8
Total magnetization, μB/cell: 2.0
Electronic total energy, eV/atom: -3.16
Formation energy without anion corrections, eV per atom: 0.200

a b c (Å): 3.5045 3.5045 7.8450
angles (deg): 90.00 90.00 90.00
With the nearest neighbours (Å) after each atom.
Sites, in units of the cell vectors:
Rh: 0.5000 0.5000 0.7500  8 Br 2.96
Br: 0.0000 0.0000 0.9572  4 Rh 2.96, 1 Br 3.25
Br: 0.0000 0.0000 0.5428  4 Rh 2.96, 1 Br 3.25
In: 0.5000 0.5000 0.2500  8 Br 3.38, 4 In 3.50

---

(8)
First-principles (PBE) data for a geometry-optimized Ca2PtAu2 structure, as listed in the Alexandria database.

Space-group type: P4/mbm, No. 127
Density of states at the Fermi level, states/eV per cell: 3.66
Calculated formation energy, eV per atom: -0.698
Energy above the lowest structure with this stoichiometry, meV/atom: 63.6
Total magnetization, μB/cell: 0.0
Electronic total energy, eV/atom: -4.02

a b c (Å): 7.4206 7.4206 4.1279
angles (deg): 90.00 90.00 90.00
With the nearest neighbours (Å) after each atom.
Sites, in units of the cell vectors:
Ca: 0.1759 0.6759 0.5000  6 Au 2.87-3.10
Ca: 0.6759 0.8241 0.5000  6 Au 2.87-3.10
Ca: 0.8241 0.3241 0.5000  6 Au 2.87-3.10
Ca: 0.3241 0.1759 0.5000  6 Au 2.87-3.10
Au: 0.3665 0.8665 0.0000  1 Au 2.80, 6 Ca 2.87-3.10, 2 Pt 2.89
Au: 0.8665 0.6335 0.0000  1 Au 2.80, 6 Ca 2.87-3.10, 2 Pt 2.89
Au: 0.6335 0.1335 0.0000  1 Au 2.80, 6 Ca 2.87-3.10, 2 Pt 2.89
Au: 0.1335 0.3665 0.0000  1 Au 2.80, 6 Ca 2.87-3.10, 2 Pt 2.89
Pt: 0.0000 0.0000 0.0000  4 Au 2.89
Pt: 0.5000 0.5000 0.0000  4 Au 2.89